SbP2Pb | meta-GGA SCAN | PBEsol geometry

E above lowest polymorph (meV per atom): 443
Formation energy from raw total energies (meV/atom): 616
Symmetry: I-4m2, No. 119
DOS(E_F) (states/eV/f.u.): 1.95
Crystal system: tetragonal

Cell lengths 4.011, 4.011, 6.116 Å; angles 109.14, 109.14, 90.00 degrees
Fractional coordinates of all 4 atoms:
Pb: 0.500 0.500 0.000
Sb: 0.250 0.750 0.500
P: 0.750 0.250 0.500
P: 0.000 0.000 0.000